This record from the Alexandria database describes an optimized crystal structure of CrSbNO2. The functional is PBE with a Hubbard U.

Output
Calculated total energy in eV/atom: -6.241

abc: 3.9283 3.9283 4.0954
angles: 90.00 90.00 90.00
Space group P4/mmm (No. 123)
Symmetry-distinct sites (fractional):
Cr (0.0000, 0.0000, 0.0000) (multiplicity 1)
Sb (0.5000, 0.5000, 0.5000) (multiplicity 1)
N (0.5000, 0.5000, 0.0000) (multiplicity 1)
O (0.0000, 0.5000, 0.5000) (multiplicity 2)